No. 1
Below is a relaxed structure of In2BiSbAu4, with properties calculated at the GGA-PBE level.

The structure in CIF format:
```
data_In2BiSbAu4
_chemical_formula_sum 'In8 Bi4 Sb4 Au16'
_cell_length_a 8.980
_cell_length_b 11.531
_cell_length_c 7.522
_cell_angle_alpha 90.00
_cell_angle_beta 90.00
_cell_angle_gamma 90.00
_symmetry_space_group_name_H-M 'F m m 2'
_symmetry_Int_Tables_number 42
_symmetry_space_group_name_Hall 'F 2 -2'
loop_
_atom_site_label
_atom_site_fract_x
_atom_site_fract_y
_atom_site_fract_z
In1 0.250 0.250 0.000
Bi1 0.000 0.000 0.249
Sb1 0.000 0.000 0.750
Au1 0.000 0.244 0.750
Au2 0.250 0.000 0.000
```

Results
Total energy: -3.42 eV per atom
Formation energy from raw total energies: -0.0929 eV/atom

---

No. 2
Below is a relaxed structure of Bi6RhAu, with properties calculated at the GGA-PBE level.

The structure in CIF format:
```
data_Bi6RhAu
_chemical_formula_sum 'Bi18 Rh3 Au3'
_cell_length_a 6.9885
_cell_length_b 6.9885
_cell_length_c 16.2296
_cell_angle_alpha 90.00
_cell_angle_beta 90.00
_cell_angle_gamma 120.00
_symmetry_space_group_name_H-M 'R -3'
_symmetry_Int_Tables_number 148
_symmetry_space_group_name_Hall '-R 3'
loop_
_atom_site_label
_atom_site_fract_x
_atom_site_fract_y
_atom_site_fract_z
Bi1 0.0225 0.2999 0.2497
Rh1 0.0000 0.0000 0.5000
Au1 0.0000 0.0000 0.0000
```

Results
Total energy: -4.27 eV per atom
Formation energy: -34 meV/atom

---

No. 3
Below is a relaxed structure of ScSiAs3, with properties calculated at the GGA-PBE level.

The structure in CIF format:
```
data_ScSiAs3
_chemical_formula_sum 'Sc1 Si1 As3'
_cell_length_a 5.060
_cell_length_b 5.060
_cell_length_c 5.060
_cell_angle_alpha 90.00
_cell_angle_beta 90.00
_cell_angle_gamma 90.00
_symmetry_space_group_name_H-M 'P m -3 m'
_symmetry_Int_Tables_number 221
_symmetry_space_group_name_Hall '-P 4 2 3'
loop_
_atom_site_label
_atom_site_fract_x
_atom_site_fract_y
_atom_site_fract_z
Sc1 0.000 0.000 0.000
Si1 0.500 0.500 0.500
As1 0.000 0.000 0.500
```

Results
Total energy: -4.57 eV per atom
Formation energy from raw total energies: 0.5734 eV/atom

---

No. 4
Below is a relaxed structure of CsScPb, with properties calculated at the GGA-PBE level.

The structure in CIF format:
```
data_CsScPb
_chemical_formula_sum 'Cs4 Sc4 Pb4'
_cell_length_a 9.823
_cell_length_b 4.635
_cell_length_c 12.940
_cell_angle_alpha 90.00
_cell_angle_beta 98.44
_cell_angle_gamma 90.00
_symmetry_space_group_name_H-M 'C 1 2/m 1'
_symmetry_Int_Tables_number 12
_symmetry_space_group_name_Hall '-C 2y'
loop_
_atom_site_label
_atom_site_fract_x
_atom_site_fract_y
_atom_site_fract_z
Cs1 0.169 0.000 0.187
Sc1 0.148 0.000 0.532
Pb1 0.026 0.500 0.384
```

Results
Total energy: -3.74 eV per atom
Formation energy: -112 meV/atom